No. 1
Density functional theory data (GGA-PBE) for an optimized crystal structure of Cs3Er3BiTe8.

The calculation puts the uncorrected formation energy at -1.1088 eV/atom. As for the calculated volume: 41.81 Å³/atom. The density of states at the Fermi level comes out at 18.94 states/eV/cell.

The structure belongs to space group C2/m (No. 12); the cell edges are 15.4291, 8.8682 and 10.5232 Å and the angles 90.00°, 119.41° and 90.00°. The distinct sites, in fractional coordinates, are Cs at (0.0000, 0.0000, 0.0000), Cs at (0.2500, 0.2500, 0.0000), Er at (0.0000, 0.5000, 0.5000), Er at (0.2500, 0.2500, 0.5000), Bi at (0.0000, 0.0000, 0.5000), Te at (0.0225, 0.2586, 0.3094), Te at (0.2298, 0.5000, 0.6892) and Te at (0.2361, 0.0000, 0.6908).

No. 2
Density functional theory data (GGA-PBE) for an optimized crystal structure of ZnAgGeN2.

The calculation puts the uncorrected formation energy at 1.5706 eV/atom. As for the calculated volume: 15.70 Å³/atom. The density of states at the Fermi level comes out at 3.44 states/eV/cell.

The structure belongs to space group P4/mmm (No. 123); the cell edges are 3.9272, 3.9272 and 5.0903 Å and the angles 90.00°, 90.00° and 90.00°. The distinct sites, in fractional coordinates, are Zn at (0.0000, 0.0000, 0.0000), Ag at (0.5000, 0.5000, 0.5000), Ge at (0.0000, 0.0000, 0.5000) and N at (0.0000, 0.5000, 0.0000).

No. 3
Density functional theory data (GGA-PBE) for an optimized crystal structure of LaZrRh2.

Its calculated formation energy is -2.7 eV/f.u. As for the calculated volume: 20.99 Å³/atom. The density of states at the Fermi level comes out at 5.39 states/eV/cell.

The structure belongs to space group Amm2 (No. 38); the cell edges are 4.4999, 3.5213 and 10.5999 Å and the angles 90.00°, 90.00° and 90.00°. The distinct sites, in fractional coordinates, are La at (0.0000, 0.0000, 0.0000), Zr at (0.5000, 0.0000, 0.2720), Rh at (0.0000, 0.0000, 0.7394) and Rh at (0.5000, 0.0000, 0.5628).

Number 1: total moment 0.00 μB per formula unit, E_tot -4.126 eV per atom. Number 2: total moment 1.54 μB per formula unit, E_tot -3.508 eV per atom. Number 3: total moment 0.00 μB per formula unit, E_tot -7.707 eV per atom.